Entry 1:
A plane-wave DFT calculation with PBE-GGA was carried out for a relaxed structure of LiTlSn3.

Values from the calculation:
ρ: 7106 kg/m3
Energy above the lowest structure with this stoichiometry: 0.000 eV per atom
Calculated formation energy: -0.08 eV/atom

The structure in POSCAR format:
```
LiTlSn3
1.0
9.2826 0.0000 0.0000
0.0000 5.4292 0.0000
-2.6604 0.0000 10.5254
Li Tl Sn
4 4 12
Cartesian
0.1403 0.3408 4.4970
-1.1899 2.3737 9.7597
7.8121 3.0554 0.7657
6.4819 5.0883 6.0284
3.2123 0.2434 3.5306
1.8821 2.4711 8.7933
4.7401 2.9580 1.7321
3.4099 5.1857 6.9948
0.0620 0.4734 1.4314
-1.2682 2.2412 6.6941
1.4000 3.1898 2.1361
0.0698 4.9539 7.3988
1.6720 2.8834 5.2183
0.3418 5.2603 10.4810
6.2804 0.1688 0.0444
4.9502 2.5457 5.3071
6.5524 0.4752 3.1266
5.2222 2.2394 8.3893
7.8904 3.1879 3.8313
6.5602 4.9558 9.0940
```

Entry 2:
A plane-wave DFT calculation with PBE-GGA was carried out for a relaxed structure of LaTb3Pm4.

Values from the calculation:
ρ: 7247 kg/m3
Energy above the lowest structure with this stoichiometry: 0.016 eV per atom
Calculated formation energy: 0.03 eV/atom

The structure in POSCAR format:
```
LaTb3Pm4
1.0
11.6841 0.0000 0.0000
0.0000 7.3697 0.0000
0.0000 0.0000 6.3634
La Tb Pm
2 6 8
Cartesian
0.0000 0.9219 0.0000
5.8421 6.4478 3.1817
0.0000 6.4484 3.1982
2.9143 0.9122 2.1367
2.9278 6.4575 5.3184
5.8421 0.9213 0.0166
8.7564 6.4575 5.3184
8.7699 0.9122 2.1367
0.0000 2.7576 3.2204
0.0000 4.6198 0.0017
2.8850 4.6087 2.1448
2.9571 2.7610 5.3265
5.8421 2.7499 3.1834
5.8421 4.6121 0.0387
8.7271 2.7610 5.3265
8.7992 4.6087 2.1448
```

Entry 3:
A plane-wave DFT calculation with PBE-GGA was carried out for a relaxed structure of YMgSi3.

Values from the calculation:
ρ: 2236 kg/m3
Energy above the lowest structure with this stoichiometry: 0.425 eV per atom
Formation energy (no corrections): 988 meV/atom

The structure in POSCAR format:
```
YMgSi3
1.0
5.2735 0.0000 0.0000
0.0000 5.2735 0.0000
0.0000 0.0000 5.2735
Y Mg Si
1 1 3
Cartesian
0.0000 0.0000 0.0000
2.6367 2.6367 2.6367
0.0000 0.0000 2.6367
0.0000 2.6367 0.0000
2.6367 0.0000 0.0000
```

Entry 4:
A plane-wave DFT calculation with PBE-GGA was carried out for a relaxed structure of Y3CdCu.

Values from the calculation:
ρ: 4870 kg/m3
Energy above the lowest structure with this stoichiometry: 0.258 eV per atom
Calculated formation energy: 0.09 eV/atom

The structure in POSCAR format:
```
Y3CdCu
1.0
5.3243 0.0000 0.0000
0.0000 5.3243 0.0000
0.0000 0.0000 5.3243
Y Cd Cu
3 1 1
Cartesian
0.0000 0.0000 2.6622
0.0000 2.6622 0.0000
2.6622 0.0000 0.0000
2.6622 2.6622 2.6622
0.0000 0.0000 0.0000
```

Entry 5:
A plane-wave DFT calculation with PBE-GGA was carried out for a relaxed structure of La6GaCo2.

Values from the calculation:
ρ: 6716 kg/m3
Energy above the lowest structure with this stoichiometry: 0.000 eV per atom
Calculated formation energy: -0.23 eV/atom

The structure in POSCAR format:
```
La6GaCo2
1.0
-4.6866 5.1073 5.2731
4.6866 -5.1073 5.2731
4.6866 5.1073 -5.2731
La Ga Co
12 2 4
Cartesian
4.6866 3.1047 -2.8658
2.7846 1.7334 0.0000
6.5885 1.7334 0.0000
1.7452 5.1073 -1.7274
2.9414 0.0000 3.5457
0.0000 2.0026 2.4073
4.6866 3.1047 2.8658
1.7452 5.1073 1.7274
2.9414 0.0000 7.0005
-1.9020 3.3739 5.2731
1.9020 3.3739 5.2731
0.0000 2.0026 8.1389
0.0000 0.0000 0.0000
0.0000 0.0000 5.2731
4.6866 0.0000 1.5272
0.0000 2.7962 0.0000
0.0000 7.4184 0.0000
0.0000 5.1073 3.7459
```

Entry 6:
A plane-wave DFT calculation with PBE-GGA was carried out for a relaxed structure of Re3P.

Values from the calculation:
ρ: 16487 kg/m3
Energy above the lowest structure with this stoichiometry: 0.326 eV per atom
Calculated formation energy: 0.20 eV/atom

The structure in POSCAR format:
```
Re3P
1.0
4.7493 -1.4570 0.0000
4.7493 1.4570 0.0000
-0.0967 0.0000 4.2908
Re P
3 1
Cartesian
0.0000 0.0000 0.0000
2.5811 0.0000 3.2643
6.8207 0.0000 1.0265
4.7009 0.0000 2.1454
```

Entry 7:
A plane-wave DFT calculation with PBE-GGA was carried out for a relaxed structure of PaGa4Ir2.

Values from the calculation:
ρ: 12071 kg/m3
Energy above the lowest structure with this stoichiometry: 0.068 eV per atom
Calculated formation energy: -0.51 eV/atom

The structure in POSCAR format:
```
PaGa4Ir2
1.0
7.3772 0.0000 0.0000
0.0000 7.3772 0.0000
0.0000 0.0000 4.5212
Pa Ga Ir
2 8 4
Cartesian
0.0000 0.0000 0.0000
3.6886 3.6886 2.2606
0.6549 2.4678 2.2606
1.2208 4.3435 0.0000
2.4678 0.6549 2.2606
3.0337 6.1564 0.0000
4.3435 1.2208 0.0000
4.9094 6.7223 2.2606
6.1564 3.0337 0.0000
6.7223 4.9094 2.2606
1.7528 5.6244 2.2606
1.9358 1.9358 0.0000
5.4414 5.4414 0.0000
5.6244 1.7528 2.2606
```

Entry 8:
A plane-wave DFT calculation with PBE-GGA was carried out for a relaxed structure of IrBr.

Values from the calculation:
ρ: 9589 kg/m3
Energy above the lowest structure with this stoichiometry: 0.203 eV per atom
Formation energy (no corrections): 470 meV/atom

The structure in POSCAR format:
```
IrBr
1.0
2.7928 0.0000 0.0000
0.0000 3.6878 0.0000
-1.3252 0.0000 9.1508
Ir Br
2 2
Cartesian
-0.0001 0.9220 0.7835
1.4676 2.7659 8.3673
-0.0003 2.7659 2.7287
1.4678 0.9220 6.4220
```

Entry 9:
A plane-wave DFT calculation with PBE-GGA was carried out for a relaxed structure of GdErZn.

Values from the calculation:
ρ: 8320 kg/m3
Energy above the lowest structure with this stoichiometry: 0.000 eV per atom
Calculated formation energy: -0.22 eV/atom

The structure in POSCAR format:
```
GdErZn
1.0
-1.7848 1.7848 6.1070
1.7848 -1.7848 6.1070
1.7848 1.7848 -6.1070
Gd Er Zn
1 1 1
Cartesian
0.0000 0.0000 0.0000
0.0000 0.0000 3.5577
0.0000 0.0000 7.9729
```

Entry 10:
A plane-wave DFT calculation with PBE-GGA was carried out for a relaxed structure of In2Bi2PtAu2.

Values from the calculation:
ρ: 11647 kg/m3
Calculated formation energy: -0.22 eV/atom

The structure in POSCAR format:
```
In2Bi2PtAu2
1.0
4.3839 0.0000 0.0000
-0.0732 6.9141 0.0000
-2.1516 -3.4469 5.8168
In Bi Pt Au
2 2 1 2
Cartesian
-0.0055 1.1392 1.2926
2.1646 2.3281 4.5242
-0.0121 -0.9410 4.5117
2.1713 4.4082 1.3052
2.1920 0.0000 0.0000
-0.0181 3.4138 2.9327
2.1773 0.0534 2.8841
```

Entry 11:
A plane-wave DFT calculation with PBE-GGA was carried out for a relaxed structure of LaNpBi2.

Values from the calculation:
ρ: 9501 kg/m3
Energy above the lowest structure with this stoichiometry: 0.000 eV per atom
Calculated formation energy: -0.45 eV/atom

The structure in POSCAR format:
```
LaNpBi2
1.0
2.2996 1.3277 7.5743
-2.2996 1.3277 7.5743
0.0000 -2.6553 7.5743
La Np Bi
1 1 2
Cartesian
0.0000 0.0000 0.0000
0.0000 0.0000 11.3614
0.0000 0.0000 5.5950
0.0000 0.0000 17.1278
```

Entry 12:
A plane-wave DFT calculation with PBE-GGA was carried out for a relaxed structure of Nd2DyPt.

Values from the calculation:
ρ: 9277 kg/m3
Energy above the lowest structure with this stoichiometry: 0.176 eV per atom
Calculated formation energy: -0.47 eV/atom

The structure in POSCAR format:
```
Nd2DyPt
1.0
3.6923 0.0000 0.0000
0.0000 3.6923 0.0000
0.0000 0.0000 8.4822
Nd Dy Pt
2 1 1
Cartesian
0.0000 0.0000 1.6948
0.0000 0.0000 6.7874
1.8461 1.8461 4.2411
1.8461 1.8461 0.0000
```